(1)
# Cs3Hg8Au3

A geometry-optimized Cs3Hg8Au3 structure (GGA-PBE, Alexandria).

a b c (Å): 5.360 9.964 9.808
angles (deg): 64.46 74.14 74.40
Sites, in units of the cell vectors:
Cs: 0.000 0.000 0.000
Cs: 0.709 0.294 0.288
Cs: 0.291 0.706 0.712
Au: 0.652 0.700 0.997
Au: 0.348 0.300 0.003
Au: 0.000 0.500 0.500
Hg: 0.496 0.332 0.675
Hg: 0.504 0.668 0.325
Hg: 0.657 0.975 0.712
Hg: 0.872 0.828 0.428
Hg: 0.146 0.569 0.139
Hg: 0.854 0.431 0.861
Hg: 0.128 0.172 0.572
Hg: 0.343 0.025 0.288

ΔE to the lowest computed polymorph (meV per atom): 8.7

(2)
# Cs2HgAu4

A geometry-optimized Cs2HgAu4 structure (GGA-PBE, Alexandria).

a b c (Å): 5.424 5.424 9.905
angles (deg): 74.11 74.11 90.00
Sites, in units of the cell vectors:
Au: 0.153 0.153 0.695
Au: 0.000 0.500 0.000
Au: 0.500 0.000 0.000
Au: 0.847 0.847 0.305
Cs: 0.356 0.356 0.288
Cs: 0.644 0.644 0.712
Hg: 0.000 0.000 0.000

Total DFT energy (no corrections) (eV/cell): -15.05

(3)
# Cs7Hg3Au

A geometry-optimized Cs7Hg3Au structure (GGA-PBE, Alexandria).

a b c (Å): 9.225 9.225 8.992
angles (deg): 76.15 76.15 101.48
Sites, in units of the cell vectors:
Cs: 0.364 0.047 0.764
Cs: 0.801 0.801 0.763
Cs: 0.121 0.631 0.179
Cs: 0.047 0.364 0.764
Cs: 0.599 0.599 0.363
Cs: 0.127 0.127 0.280
Cs: 0.631 0.121 0.179
Hg: 0.261 0.793 0.500
Hg: 0.438 0.438 0.909
Hg: 0.793 0.261 0.500
Au: 0.943 0.943 0.050

Total DFT energy (no corrections) (eV/cell): -11.95

(4)
# Cs12Hg3Au5

A geometry-optimized Cs12Hg3Au5 structure (GGA-PBE, Alexandria).

a b c (Å): 19.076 19.076 19.076
angles (deg): 109.47 109.47 109.47
Sites, in units of the cell vectors:
Cs: 0.586 0.961 0.674
Cs: 0.787 0.326 0.912
Cs: 0.086 0.912 0.125
Cs: 0.412 0.125 0.586
Cs: 0.412 0.287 0.326
Cs: 0.912 0.826 0.787
Cs: 0.326 0.539 0.414
Cs: 0.586 0.625 0.412
Cs: 0.375 0.961 0.787
Cs: 0.213 0.539 0.625
Cs: 0.461 0.787 0.875
Cs: 0.674 0.461 0.586
Cs: 0.414 0.375 0.588
Cs: 0.461 0.674 0.086
Cs: 0.875 0.287 0.461
Cs: 0.875 0.588 0.914
Cs: 0.174 0.086 0.961
Cs: 0.625 0.039 0.213
Cs: 0.674 0.213 0.588
Cs: 0.287 0.875 0.961
Cs: 0.914 0.826 0.539
Cs: 0.787 0.461 0.375
Cs: 0.826 0.914 0.039
Cs: 0.539 0.326 0.914
Cs: 0.039 0.625 0.713
Cs: 0.326 0.787 0.412
Cs: 0.287 0.412 0.826
Cs: 0.125 0.412 0.086
Cs: 0.213 0.674 0.088
Cs: 0.625 0.586 0.912
Cs: 0.174 0.088 0.713
Cs: 0.088 0.914 0.375
Cs: 0.713 0.588 0.174
Cs: 0.961 0.586 0.174
Cs: 0.713 0.125 0.039
Cs: 0.961 0.375 0.287
Cs: 0.125 0.713 0.539
Cs: 0.088 0.174 0.213
Cs: 0.039 0.414 0.826
Cs: 0.826 0.912 0.287
Cs: 0.414 0.039 0.326
Cs: 0.914 0.088 0.875
Cs: 0.588 0.713 0.674
Cs: 0.539 0.213 0.125
Cs: 0.086 0.174 0.461
Cs: 0.375 0.414 0.088
Cs: 0.912 0.086 0.625
Cs: 0.588 0.875 0.414
Hg: 0.750 0.875 0.625
Hg: 0.250 0.625 0.875
Hg: 0.625 0.375 0.750
Hg: 0.875 0.125 0.250
Hg: 0.750 0.375 0.125
Hg: 0.375 0.750 0.625
Hg: 0.250 0.125 0.375
Hg: 0.625 0.250 0.375
Hg: 0.125 0.250 0.875
Hg: 0.375 0.625 0.250
Hg: 0.875 0.750 0.125
Hg: 0.125 0.875 0.750
Au: 0.750 0.625 0.375
Au: 0.500 0.500 0.500
Au: 0.875 0.250 0.625
Au: 0.000 0.500 0.500
Au: 0.500 0.500 0.000
Au: 0.750 0.125 0.875
Au: 0.625 0.750 0.875
Au: 0.875 0.625 0.750
Au: 0.375 0.250 0.125
Au: 0.000 0.500 0.000
Au: 0.250 0.375 0.625
Au: 0.500 0.000 0.500
Au: 0.125 0.375 0.250
Au: 0.375 0.125 0.750
Au: 0.625 0.875 0.250
Au: 0.250 0.875 0.125
Au: 0.000 0.000 0.500
Au: 0.500 0.000 0.000
Au: 0.000 0.000 0.000
Au: 0.125 0.750 0.375

Total DFT energy (no corrections) (eV/cell): -122.52